1.
Below is an optimized crystal structure of ThTcN3, with properties calculated at the GGA-PBE level.

## Properties
The formation energy without anion corrections comes out at -2.8 eV/f.u. Its total energy is -9.106 eV per atom.

a b c (Å): 5.3607 5.3607 15.6772
angles (deg): 90.00 90.00 120.00
With the nearest neighbours (Å) after each atom.
Space group R32 (No. 155, hexagonal axes)
Inequivalent atoms, fractional coordinates:
1 Th 0.0000 0.0000 0.1248  6 N 2.40-2.53
2 Tc 0.0000 0.0000 0.3371  6 N 2.04
3 N 0.0105 0.4351 0.9188  2 Tc 2.04

***

2.
Below is an optimized crystal structure of Th2TcWN6, with properties calculated at the GGA-PBE level.

## Properties
The formation energy without anion corrections comes out at -9.6 eV/f.u. Its total energy is -9.775 eV per atom.

a b c (Å): 5.5736 5.6814 9.6842
angles (deg): 90.00 124.97 90.00
With the nearest neighbours (Å) after each atom.
Space group P2_1/c (No. 14)
Inequivalent atoms, fractional coordinates:
1 Th 0.2455 0.0474 0.2498  6 N 2.44-2.70
2 Tc 0.5000 0.0000 0.0000  6 N 2.04-2.06
3 W 0.0000 0.0000 0.5000  6 N 2.02-2.04
4 N 0.1593 0.2030 0.9614  1 W 2.04, 1 Tc 2.06
5 N 0.2616 0.7005 0.9621  1 W 2.04, 1 Tc 2.06
6 N 0.3207 0.0168 0.7485  1 W 2.02, 1 Tc 2.04

***

3.
Below is an optimized crystal structure of Ti4TcN, with properties calculated at the GGA-PBE level.

## Properties
The formation energy without anion corrections comes out at -2.0 eV/f.u. Its total energy is -8.705 eV per atom.

a b c (Å): 7.3262 7.3262 7.1360
angles (deg): 90.00 90.00 90.00
With the nearest neighbours (Å) after each atom.
Space group I4_1md (No. 109)
Inequivalent atoms, fractional coordinates:
1 Ti 0.0000 0.1890 0.0000  1 N 2.10, 1 Tc 2.31
2 Ti 0.0000 0.2013 0.4216  2 N 2.05-2.22
3 Tc 0.0000 0.0000 0.6993  6 Ti 2.31-2.55
4 N 0.0000 0.0000 0.2215  6 Ti 2.05-2.22

***

4.
Below is an optimized crystal structure of TiTc2N2, with properties calculated at the GGA-PBE level.

## Properties
The formation energy without anion corrections comes out at -1.9 eV/f.u. Its total energy is -9.435 eV per atom. The energy above the lowest structure with this stoichiometry is 0 meV/atom.

a b c (Å): 5.5914 5.5914 3.9057
angles (deg): 90.00 90.00 90.00
With the nearest neighbours (Å) after each atom.
Space group P4/mbm (No. 127)
Inequivalent atoms, fractional coordinates:
1 Ti 0.0000 0.0000 0.0000  4 N 2.06
2 Tc 0.1742 0.3258 0.5000  2 N 1.95
3 N 0.1754 0.3246 0.0000  2 Tc 1.95, 2 Ti 2.06

***

5.
Below is an optimized crystal structure of TiTcN3, with properties calculated at the GGA-PBE level.

## Properties
The formation energy without anion corrections comes out at 4.3 eV/f.u. Its total energy is -7.790 eV per atom.

a b c (Å): 3.8726 3.8726 3.8726
angles (deg): 90.00 90.00 90.00
With the nearest neighbours (Å) after each atom.
Space group Pm-3m (No. 221)
Inequivalent atoms, fractional coordinates:
1 Ti 0.0000 0.0000 0.0000  6 N 1.94
2 Tc 0.5000 0.5000 0.5000  12 N 2.74
3 N 0.0000 0.0000 0.5000  2 Ti 1.94

***

6.
Below is an optimized crystal structure of TiTc2N2, with properties calculated at the GGA-PBE level.

## Properties
The formation energy without anion corrections comes out at 1.5 eV/f.u. Its total energy is -8.750 eV per atom. The energy above the lowest structure with this stoichiometry is 685 meV/atom.

a b c (Å): 3.7975 3.7975 8.7779
angles (deg): 90.00 90.00 90.00
With the nearest neighbours (Å) after each atom.
Space group I4/mmm (No. 139)
Inequivalent atoms, fractional coordinates:
1 Ti 0.0000 0.0000 0.0000  8 Tc 2.90, 10 N 3.01-3.03
2 Tc 0.0000 0.5000 0.2500  4 N 2.08
3 N 0.0000 0.0000 0.3457  4 Tc 2.08